[1]
Density functional theory data (GGA-PBE) for a relaxed structure of Pm6NdCd2.

Properties
DOS at the Fermi energy: 9.19 states/eV/f.u.
V: 287.3 Å³/f.u.
Symmetry: C2/m (12)
Energy relative to the lowest polymorph listed for this composition: 0.00 eV/f.u.
Formation enthalpy at 0 K: -12.8 kJ per mole of atoms
Energy: -36.30 eV for the cell shown
Size of the total moment: 0.00 μB per atom

Cell lengths 3.837, 6.734, 12.035 Å; angles 75.51, 80.83, 73.45 degrees
Element x y z (fractional)
Cd1 0.647 0.914 0.792
Cd2 0.353 0.086 0.208
Pm1 0.312 0.791 0.586
Nd1 0.000 0.000 0.000
Pm2 0.688 0.209 0.414
Pm3 0.982 0.697 0.339
Pm4 0.315 0.493 0.876
Pm5 0.018 0.303 0.661
Pm6 0.685 0.507 0.124

[2]
Density functional theory data (GGA-PBE) for a relaxed structure of RbIrS2.

Properties
DOS at the Fermi energy: 0.01 states/eV/f.u.
V: 102.5 Å³/f.u.
Raw formation energy: -554.5 meV per atom
Symmetry: I-42d (122)
Energy: -40.60 eV for the cell shown
Size of the total moment: 0.00 μB per atom

Cell lengths 7.332, 7.332, 6.436 Å; angles 55.27, 55.27, 90.00 degrees
Element x y z (fractional)
Ir1 0.000 0.000 0.000
S1 0.002 0.625 0.250
Rb1 0.250 0.750 0.500
Ir2 0.750 0.250 0.500
S2 0.375 0.252 0.750
Rb2 0.500 0.500 0.000
S3 0.748 0.125 0.250
S4 0.875 0.998 0.750

[3]
Density functional theory data (GGA-PBE) for a relaxed structure of HfMn2Hg.

Properties
DOS at the Fermi energy: 3.53 states/eV/f.u.
V: 75.7 Å³/f.u.
Symmetry: I-42d (122)
Formation enthalpy at 0 K: 56.8 kJ per mole of atoms
Energy: -52.48 eV for the cell shown
Size of the total moment: 1.46 μB per atom

Cell lengths 7.298, 7.298, 5.891 Å; angles 51.73, 51.73, 90.00 degrees
Each line ends with the local moment (μB).
Element x y z (fractional)
Mn1 0.628 0.125 0.250  3.17
Hg1 0.750 0.250 0.500  -0.04
Hg2 0.000 0.000 0.000  -0.04
Mn2 0.375 0.372 0.750  3.21
Mn3 0.875 0.878 0.750  3.23
Hf1 0.250 0.750 0.500  -0.55
Mn4 0.122 0.625 0.250  3.20
Hf2 0.500 0.500 0.000  -0.54

[4]
Density functional theory data (GGA-PBE) for a relaxed structure of K2MgH4.

Properties
DOS at the Fermi energy: 0.00 states/eV/f.u.
V: 134.6 Å³/f.u.
Symmetry: P2_1/m (11)
Energy relative to the lowest polymorph listed for this composition: 0.44 eV/f.u.
Energy: -37.33 eV for the cell shown
Size of the total moment: 0.00 μB per atom

Cell lengths 6.105, 6.241, 7.548 Å; angles 90.00, 110.62, 90.00 degrees
Element x y z (fractional)
H1 0.045 0.750 0.336
H2 0.457 0.521 0.267
Mg1 0.252 0.750 0.209
H3 0.955 0.250 0.664
K1 0.666 0.750 0.020
H4 0.104 0.750 0.947
H5 0.457 0.979 0.267
K2 0.193 0.250 0.428
H6 0.896 0.250 0.053
K3 0.334 0.250 0.980
H7 0.543 0.021 0.733
Mg2 0.748 0.250 0.791
K4 0.807 0.750 0.572
H8 0.543 0.479 0.733